1.
Material: MgNbReSn
Method: DFT, PBE-GGA
State: relaxed

Unit cell a=3.486 b=4.664 c=9.093 alpha=90.00 beta=90.00 gamma=90.00
Atoms (fractional coordinates):
Mg 0.000 0.000 0.000
Mg 0.500 0.500 0.500
Nb 0.000 0.500 0.767
Nb 0.500 0.000 0.267
Re 0.000 0.000 0.480
Re 0.500 0.500 0.980
Sn 0.000 0.500 0.231
Sn 0.500 0.000 0.731

As for the energy of formation: 16 kJ per mole of atoms. As for the offset from the most stable computed form: 169 meV/atom.

***

2.
Material: TbHoInPb
Method: DFT, PBE-GGA
State: relaxed

Unit cell a=4.977 b=4.977 c=8.843 alpha=90.00 beta=90.00 gamma=90.00
Atoms (fractional coordinates):
Tb 0.000 0.000 0.000
Tb 0.500 0.500 0.500
Ho 0.000 0.000 0.500
Ho 0.500 0.500 0.000
In 0.000 0.500 0.750
In 0.500 0.000 0.250
Pb 0.000 0.500 0.250
Pb 0.500 0.000 0.750

As for the energy of formation: -43 kJ per mole of atoms. As for the offset from the most stable computed form: 0 meV/atom.

***

3.
Material: YHoInPt
Method: DFT, PBE-GGA
State: relaxed

Unit cell a=7.244 b=7.244 c=7.244 alpha=90.00 beta=90.00 gamma=90.00
Atoms (fractional coordinates):
Y 0.000 0.000 0.000
Y 0.000 0.500 0.500
Y 0.500 0.000 0.500
Y 0.500 0.500 0.000
Ho 0.000 0.000 0.500
Ho 0.000 0.500 0.000
Ho 0.500 0.000 0.000
Ho 0.500 0.500 0.500
In 0.250 0.250 0.250
In 0.250 0.750 0.750
In 0.750 0.250 0.750
In 0.750 0.750 0.250
Pt 0.250 0.250 0.750
Pt 0.250 0.750 0.250
Pt 0.750 0.250 0.250
Pt 0.750 0.750 0.750

As for the energy of formation: -73 kJ per mole of atoms.

***

4.
Material: USb2O8
Method: DFT, PBE-GGA
State: relaxed

Unit cell a=5.305 b=5.305 c=6.282 alpha=95.83 beta=95.83 gamma=118.25
Atoms (fractional coordinates):
U 0.000 0.000 0.000
Sb 0.326 0.674 0.500
Sb 0.674 0.326 0.500
O 0.052 0.389 0.663
O 0.194 0.806 0.000
O 0.338 0.338 0.302
O 0.389 0.052 0.663
O 0.611 0.948 0.337
O 0.662 0.662 0.698
O 0.806 0.194 0.000
O 0.948 0.611 0.337

The calculation puts the uncorrected formation energy at -1759 meV/atom.

***

5.
Material: HoAlZnAu
Method: DFT, PBE-GGA
State: relaxed

Unit cell a=6.726 b=6.726 c=6.726 alpha=90.00 beta=90.00 gamma=90.00
Atoms (fractional coordinates):
Ho 0.000 0.000 0.000
Ho 0.000 0.500 0.500
Ho 0.500 0.000 0.500
Ho 0.500 0.500 0.000
Al 0.000 0.000 0.500
Al 0.000 0.500 0.000
Al 0.500 0.000 0.000
Al 0.500 0.500 0.500
Zn 0.250 0.250 0.250
Zn 0.250 0.750 0.750
Zn 0.750 0.250 0.750
Zn 0.750 0.750 0.250
Au 0.250 0.250 0.750
Au 0.250 0.750 0.250
Au 0.750 0.250 0.250
Au 0.750 0.750 0.750

As for the energy of formation: -51 kJ per mole of atoms.

***

6.
Material: CsRe2Ge
Method: DFT, PBE-GGA
State: relaxed

Unit cell a=4.738 b=4.738 c=17.937 alpha=90.00 beta=90.00 gamma=90.00
Atoms (fractional coordinates):
Cs 0.000 0.000 0.000
Cs 0.000 0.500 0.250
Cs 0.500 0.000 0.750
Cs 0.500 0.500 0.500
Re 0.100 0.250 0.625
Re 0.250 0.600 0.875
Re 0.250 0.900 0.375
Re 0.400 0.250 0.125
Re 0.600 0.750 0.125
Re 0.750 0.100 0.375
Re 0.750 0.400 0.875
Re 0.900 0.750 0.625
Ge 0.000 0.000 0.500
Ge 0.000 0.500 0.750
Ge 0.500 0.000 0.250
Ge 0.500 0.500 0.000

As for the energy of formation: 143 kJ per mole of atoms.